First-principles (GGA-PBE) data for crystalline RuAu2Se at its relaxed geometry, as listed in the Alexandria database.

The value obtained for the density of states at the Fermi level is 6.30 states/eV/cell. For the uncorrected formation energy, the calculation gives 6.875 kcal/mol of atoms.

a b c (Å): 2.934 4.964 10.403
angles (deg): 90.00 90.00 90.00
Space group Cmm2 (No. 35)
One atom of each set of equivalent atoms:
1 Ru 0.000 0.000 0.000 x2
2 Au 0.000 0.000 0.479 x2
3 Au 0.000 0.500 0.232 x2
4 Se 0.000 0.500 0.816 x2

=====

First-principles (GGA-PBE) data for crystalline RuAu2Se at its relaxed geometry, as listed in the Alexandria database.

The value obtained for the density of states at the Fermi level is 1.95 states/eV/cell. For the uncorrected formation energy, the calculation gives 1.943 kcal/mol of atoms.

a b c (Å): 2.975 2.975 8.383
angles (deg): 90.00 90.00 90.00
Space group P4mm (No. 99)
One atom of each set of equivalent atoms:
1 Ru 0.000 0.000 0.000 x1
2 Au 0.000 0.000 0.513 x1
3 Au 0.500 0.500 0.755 x1
4 Se 0.500 0.500 0.159 x1